# 1
A relaxed CoRu2Cl crystal, computed with PBEsol.

```
CoRu2Cl
1.0
2.7790 0.0000 0.0000
0.0000 3.8274 0.0000
-1.3072 0.0000 4.8733
Co Ru Cl
1 2 1
direct
0.0000 0.0000 0.0000
0.3570 0.5000 0.7423
0.6430 0.5000 0.2577
0.0000 0.0000 0.5000
```

Results
Its formation energy from raw total energies is 653.2 meV per atom. The calculation puts the energy above the most stable polymorph in this dataset at 0.300 eV per atom.



# 2
A relaxed YAlTl2 crystal, computed with PBEsol.

```
YAlTl2
1.0
3.4137 0.0000 0.0000
-1.7069 2.9564 0.0000
0.0000 0.0000 30.2053
Y Al Tl
3 3 6
direct
0.0000 0.0000 0.0000
0.3333 0.6667 0.6667
0.6667 0.3333 0.3333
0.0000 0.0000 0.2542
0.3333 0.6667 0.9208
0.6667 0.3333 0.5875
0.0000 0.0000 0.5091
0.0000 0.0000 0.7542
0.3333 0.6667 0.1758
0.3333 0.6667 0.4208
0.6667 0.3333 0.0875
0.6667 0.3333 0.8425
```

Results
For the formation energy, the calculation gives -0.007 eV per atom. The calculation puts the energy above the most stable polymorph in this dataset at 0.092 eV per atom.



# 3
A relaxed Ba2SbRh crystal, computed with PBEsol.

```
Ba2SbRh
1.0
5.1177 0.0000 0.0000
0.0000 5.1177 0.0000
0.0000 0.0000 9.0911
Ba Sb Rh
4 2 2
direct
0.0000 0.5000 0.2500
0.0000 0.5000 0.7500
0.5000 0.0000 0.2500
0.5000 0.0000 0.7500
0.0000 0.0000 0.0000
0.5000 0.5000 0.5000
0.0000 0.0000 0.5000
0.5000 0.5000 0.0000
```

Results
Its formation energy from raw total energies is -269.9 meV per atom.



Please write out number 1 again, unchanged.
A relaxed CoRu2Cl crystal, computed with PBEsol.

```
CoRu2Cl
1.0
2.7790 0.0000 0.0000
0.0000 3.8274 0.0000
-1.3072 0.0000 4.8733
Co Ru Cl
1 2 1
direct
0.0000 0.0000 0.0000
0.3570 0.5000 0.7423
0.6430 0.5000 0.2577
0.0000 0.0000 0.5000
```

Results
Its formation energy from raw total energies is 653.2 meV per atom. The calculation puts the energy above the most stable polymorph in this dataset at 0.300 eV per atom.



Number 1 is which compound? CoRu2Cl